1.
Computed, not measured: an optimized crystal structure of Pm3PaSe6 at the PBE level of DFT.

ΔE to the lowest computed polymorph	0.0	meV per atom

```
data_Pm3PaSe6
_chemical_formula_sum 'Pm6 Pa2 Se12'
_space_group_name_H-M_alt 'P 1'
_space_group_IT_number 1
_space_group_name_Hall 'P 1'
_cell_length_a 4.141
_cell_length_b 11.737
_cell_length_c 12.047
_cell_angle_alpha 107.78
_cell_angle_beta 90.00
_cell_angle_gamma 90.00
loop_
_atom_site_label
_atom_site_fract_x
_atom_site_fract_y
_atom_site_fract_z
Pm1 0.750 0.419 0.834
Pm2 0.250 0.581 0.166
Pm3 0.750 0.679 0.504
Pm4 0.250 0.321 0.496
Pm5 0.750 0.159 0.076
Pm6 0.250 0.841 0.924
Pa1 0.750 0.044 0.694
Pa2 0.250 0.956 0.306
Se1 0.750 0.482 0.619
Se2 0.250 0.518 0.381
Se3 0.750 0.918 0.106
Se4 0.250 0.082 0.894
Se5 0.750 0.402 0.072
Se6 0.250 0.598 0.928
Se7 0.750 0.758 0.283
Se8 0.250 0.242 0.717
Se9 0.750 0.109 0.462
Se10 0.250 0.891 0.538
Se11 0.750 0.813 0.749
Se12 0.250 0.187 0.251
```

***

2.
Computed, not measured: an optimized crystal structure of CdNiMo2 at the PBE level of DFT.

DFT formation energy	64	kJ/mol of formula units

```
data_CdNiMo2
_chemical_formula_sum 'Cd1 Ni1 Mo2'
_space_group_name_H-M_alt 'P 1'
_space_group_IT_number 1
_space_group_name_Hall 'P 1'
_cell_length_a 2.732
_cell_length_b 2.732
_cell_length_c 8.708
_cell_angle_alpha 90.00
_cell_angle_beta 90.00
_cell_angle_gamma 105.15
loop_
_atom_site_label
_atom_site_fract_x
_atom_site_fract_y
_atom_site_fract_z
Cd1 0.500 0.500 0.732
Mo1 0.000 0.000 0.016
Mo2 0.500 0.500 0.269
Ni1 0.000 0.000 0.483
```

***

3.
Computed, not measured: an optimized crystal structure of CdBTeN2 at the PBE level of DFT.

ΔE to the lowest computed polymorph	0.0	meV per atom

```
data_CdBTeN2
_chemical_formula_sum 'Cd1 B1 Te1 N2'
_space_group_name_H-M_alt 'P 1'
_space_group_IT_number 1
_space_group_name_Hall 'P 1'
_cell_length_a 3.793
_cell_length_b 3.793
_cell_length_c 5.209
_cell_angle_alpha 90.00
_cell_angle_beta 90.00
_cell_angle_gamma 90.00
loop_
_atom_site_label
_atom_site_fract_x
_atom_site_fract_y
_atom_site_fract_z
N1 0.000 0.500 0.000
N2 0.500 0.000 0.000
Te1 0.000 0.000 0.500
B1 0.000 0.000 0.000
Cd1 0.500 0.500 0.500
```

***

4.
Computed, not measured: an optimized crystal structure of LiYSi2 at the PBE level of DFT.

ΔE to the lowest computed polymorph	465.0	meV per atom

```
data_LiYSi2
_chemical_formula_sum 'Li2 Y2 Si4'
_space_group_name_H-M_alt 'P 1'
_space_group_IT_number 1
_space_group_name_Hall 'P 1'
_cell_length_a 4.497
_cell_length_b 4.497
_cell_length_c 8.858
_cell_angle_alpha 75.30
_cell_angle_beta 75.30
_cell_angle_gamma 90.00
loop_
_atom_site_label
_atom_site_fract_x
_atom_site_fract_y
_atom_site_fract_z
Y1 0.000 0.000 0.000
Y2 0.750 0.250 0.500
Si1 0.261 0.125 0.250
Si2 0.489 0.625 0.250
Si3 0.375 0.739 0.750
Si4 0.875 0.511 0.750
Li1 0.500 0.500 0.000
Li2 0.250 0.750 0.500
```

***

5.
Computed, not measured: an optimized crystal structure of Ce2AgC at the PBE level of DFT.

DFT formation energy	-42	kJ/mol of formula units
ΔE to the lowest computed polymorph	13.9	meV per atom

```
data_Ce2AgC
_chemical_formula_sum 'Ce2 Ag1 C1'
_space_group_name_H-M_alt 'P 1'
_space_group_IT_number 1
_space_group_name_Hall 'P 1'
_cell_length_a 3.528
_cell_length_b 3.528
_cell_length_c 8.349
_cell_angle_alpha 89.94
_cell_angle_beta 102.24
_cell_angle_gamma 120.04
loop_
_atom_site_label
_atom_site_fract_x
_atom_site_fract_y
_atom_site_fract_z
Ce1 0.548 0.274 0.822
Ce2 0.452 0.726 0.178
Ag1 0.000 0.500 0.500
C1 0.000 0.000 0.000
```

***

6.
Computed, not measured: an optimized crystal structure of LiTb2Ti at the PBE level of DFT.

DFT formation energy	180	kJ/mol of formula units

```
data_LiTb2Ti
_chemical_formula_sum 'Li1 Tb2 Ti1'
_space_group_name_H-M_alt 'P 1'
_space_group_IT_number 1
_space_group_name_Hall 'P 1'
_cell_length_a 3.223
_cell_length_b 3.223
_cell_length_c 11.669
_cell_angle_alpha 82.06
_cell_angle_beta 82.06
_cell_angle_gamma 60.00
loop_
_atom_site_label
_atom_site_fract_x
_atom_site_fract_y
_atom_site_fract_z
Li1 0.500 0.500 0.500
Tb1 0.084 0.084 0.747
Tb2 0.916 0.916 0.253
Ti1 0.000 0.000 0.000
```

***

7.
Computed, not measured: an optimized crystal structure of SrCdAg2 at the PBE level of DFT.

DFT formation energy	-55	kJ/mol of formula units

```
data_SrCdAg2
_chemical_formula_sum 'Sr1 Cd1 Ag2'
_space_group_name_H-M_alt 'P 1'
_space_group_IT_number 1
_space_group_name_Hall 'P 1'
_cell_length_a 4.689
_cell_length_b 3.861
_cell_length_c 6.036
_cell_angle_alpha 70.55
_cell_angle_beta 90.00
_cell_angle_gamma 90.00
loop_
_atom_site_label
_atom_site_fract_x
_atom_site_fract_y
_atom_site_fract_z
Ag1 0.000 0.190 0.999
Ag2 0.500 0.044 0.271
Cd1 0.000 0.477 0.424
Sr1 0.500 0.789 0.806
```

***

8.
Computed, not measured: an optimized crystal structure of Ho6PbS5 at the PBE level of DFT.

E	-71.957	eV for the cell shown

```
data_Ho6PbS5
_chemical_formula_sum 'Ho6 Pb1 S5'
_space_group_name_H-M_alt 'P 1'
_space_group_IT_number 1
_space_group_name_Hall 'P 1'
_cell_length_a 6.934
_cell_length_b 6.892
_cell_length_c 6.893
_cell_angle_alpha 60.00
_cell_angle_beta 80.42
_cell_angle_gamma 70.55
loop_
_atom_site_label
_atom_site_fract_x
_atom_site_fract_y
_atom_site_fract_z
Pb1 0.000 0.000 0.000
S1 0.500 0.161 0.679
S2 0.000 0.332 0.336
S3 0.500 0.500 0.000
S4 0.000 0.668 0.664
S5 0.500 0.839 0.321
Ho1 0.737 0.088 0.349
Ho2 0.263 0.563 0.349
Ho3 0.260 0.263 0.000
Ho4 0.740 0.737 0.000
Ho5 0.737 0.437 0.651
Ho6 0.263 0.912 0.651
```

***

Mass density
In order: 6.8, 9.6, 6.2, 3.0, 7.6, 6.0, 6.7, 8.4
Unit: Mg/m³